Record 1
Compound: Mg2MnPdRu
Source: Alexandria
Functional: PBE
Structure: relaxed

```
Mg2MnPdRu
1.0
4.818 0.000 0.000
0.000 4.818 0.000
0.000 0.000 4.197
Mg Mn Pd Ru
2 1 1 1
Direct
0.000 0.500 0.000
0.500 0.000 0.000
0.000 0.000 0.000
0.500 0.500 0.500
0.000 0.000 0.500
```

Output
Total magnetization   2.06 μB per formula unit
Raw total energy   -4.65 eV/atom
Calculated formation energy   0.7135 eV/atom

***

Record 2
Compound: MgMn2PdSe
Source: Alexandria
Functional: PBE
Structure: relaxed

```
MgMn2PdSe
1.0
4.883 0.000 0.000
0.000 4.883 0.000
0.000 0.000 4.673
Mg Mn Pd Se
1 2 1 1
Direct
0.000 0.000 0.000
0.000 0.500 0.000
0.500 0.000 0.000
0.500 0.500 0.500
0.000 0.000 0.500
```

Output
Total magnetization   8.28 μB per formula unit
Formation energy (no corrections)   1058 meV/atom
Raw total energy   -4.66 eV/atom

***

Record 3
Compound: SrMgMn2Pd
Source: Alexandria
Functional: PBE
Structure: relaxed

```
SrMgMn2Pd
1.0
5.250 0.000 0.000
0.000 5.250 0.000
0.000 0.000 5.128
Sr Mg Mn Pd
1 1 2 1
Direct
0.000 0.000 0.000
0.500 0.500 0.500
0.000 0.500 0.000
0.500 0.000 0.000
0.000 0.000 0.500
```

Output
Total magnetization   7.91 μB per formula unit
Raw total energy   -3.91 eV/atom
Calculated formation energy   1.4542 eV/atom

***

Record 4
Compound: MgMn2TlPd
Source: Alexandria
Functional: PBE
Structure: relaxed

```
MgMn2TlPd
1.0
4.808 0.000 0.000
0.000 4.808 0.000
0.000 0.000 5.087
Mg Mn Tl Pd
1 2 1 1
Direct
0.000 0.000 0.000
0.000 0.500 0.000
0.500 0.000 0.000
0.000 0.000 0.500
0.500 0.500 0.500
```

Output
Total magnetization   8.09 μB per formula unit
Raw total energy   -4.28 eV/atom
Calculated formation energy   1.2223 eV/atom

***

Record 5
Compound: Pm2MgMnSe5
Source: Alexandria
Functional: PBE
Structure: relaxed

```
Pm2MgMnSe5
1.0
2.047 -8.689 0.000
2.047 8.689 0.000
0.000 0.000 12.072
Pm Mg Mn Se
4 2 2 10
Direct
0.113 0.887 0.500
0.130 0.870 0.117
0.870 0.130 0.617
0.887 0.113 0.000
0.205 0.795 0.828
0.795 0.205 0.328
0.436 0.564 0.271
0.564 0.436 0.771
0.048 0.952 0.882
0.287 0.713 0.479
0.309 0.691 0.165
0.357 0.643 0.813
0.498 0.502 0.591
0.502 0.498 0.091
0.643 0.357 0.313
0.691 0.309 0.665
0.713 0.287 0.979
0.952 0.048 0.382
```

Output
Total magnetization   4.98 μB per formula unit
Formation energy (no corrections)   -1389 meV/atom
Raw total energy   -5.58 eV/atom

***

Record 6
Compound: PmTmMgMn
Source: Alexandria
Functional: PBE
Structure: relaxed

```
PmTmMgMn
1.0
0.000 3.683 3.683
3.683 0.000 3.683
3.683 3.683 0.000
Pm Tm Mg Mn
1 1 1 1
Direct
0.000 0.000 0.000
0.500 0.500 0.500
0.250 0.250 0.250
0.750 0.750 0.750
```

Output
Total magnetization   3.16 μB per formula unit
Raw total energy   -4.89 eV/atom
Calculated formation energy   0.1050 eV/atom

***

Record 7
Compound: PmMgMnZn
Source: Alexandria
Functional: PBE
Structure: relaxed

```
PmMgMnZn
1.0
0.000 3.495 3.495
3.495 0.000 3.495
3.495 3.495 0.000
Pm Mg Mn Zn
1 1 1 1
Direct
0.000 0.000 0.000
0.500 0.500 0.500
0.750 0.750 0.750
0.250 0.250 0.250
```

Output
Total magnetization   4.32 μB per formula unit
Raw total energy   -4.15 eV/atom
Calculated formation energy   0.0457 eV/atom

***

Record 8
Compound: Pr2MgMn
Source: Alexandria
Functional: PBE
Structure: relaxed

```
Pr2MgMn
1.0
0.000 3.816 3.816
3.816 0.000 3.816
3.816 3.816 0.000
Pr Mg Mn
2 1 1
Direct
0.250 0.250 0.250
0.750 0.750 0.750
0.000 0.000 0.000
0.500 0.500 0.500
```

Output
Total magnetization   3.40 μB per formula unit
Raw total energy   -4.95 eV/atom
Calculated formation energy   0.1307 eV/atom